Material: LiYN3
Method: DFT, PBE
State: relaxed

Cell: 3.679 3.679 3.679 Å, 90.00 90.00 90.00°
Fractional coordinates of all 5 atoms:
Y1 0.500 0.500 0.500
Li1 0.000 0.000 0.000
N1 0.000 0.500 0.000
N2 0.000 0.000 0.500
N3 0.500 0.000 0.000

Values from the calculation:
Uncorrected formation energy ... 0.608 eV per atom
Total magnetization ... 0.00 μB per formula unit
Volume ... 49.8 Å³/cell

Material: YRe
Method: DFT, PBE
State: relaxed

Cell: 4.905 4.905 5.672 Å, 90.00 90.00 120.00°
Site moments in Bohr magnetons follow the coordinates.
Fractional coordinates of all 4 atoms:
Y1 0.333 0.667 0.250  0.01
Y2 0.667 0.333 0.750  0.01
Re1 0.333 0.667 0.750  1.01
Re2 0.667 0.333 0.250  1.01

Values from the calculation:
Calculated formation energy ... 1.90 eV per atom
Total magnetization ... 1.14 μB per formula unit
Volume ... 118.2 Å³/cell

Material: Pr2Tm3In
Method: DFT, PBE
State: relaxed

Cell: 5.122 9.425 9.425 Å, 111.88 105.77 105.77°
Fractional coordinates of all 12 atoms:
Pr1 0.250 0.924 0.076
Pr2 0.250 0.225 0.775
Pr3 0.750 0.076 0.924
Pr4 0.750 0.775 0.225
Tm1 0.045 0.216 0.373
Tm2 0.545 0.373 0.216
Tm3 0.000 0.500 0.000
Tm4 0.955 0.784 0.627
Tm5 0.500 0.000 0.500
Tm6 0.455 0.627 0.784
In1 0.250 0.605 0.395
In2 0.750 0.395 0.605

Values from the calculation:
Relative energy among the computed polymorphs ... 0.8 kJ/mol of atoms
Calculated formation energy ... -0.13 eV per atom
Total magnetization ... 0.00 μB per formula unit
Volume ... 369.2 Å³/cell

Material: Li4Fe3H10
Method: DFT, PBE
State: relaxed

Cell: 3.209 3.209 11.521 Å, 98.01 98.01 90.00°
Site moments in Bohr magnetons follow the coordinates.
Fractional coordinates of all 17 atoms:
Li1 0.570 0.570 0.140  -0.01
Li2 0.430 0.430 0.860  -0.01
Li3 0.298 0.298 0.595  -0.01
Li4 0.702 0.702 0.405  -0.01
Fe1 0.143 0.143 0.287  0.71
Fe2 0.857 0.857 0.713  0.71
Fe3 0.000 0.000 0.000  0.79
H1 0.136 0.636 0.272  -0.01
H2 0.071 0.071 0.142  -0.01
H3 0.636 0.136 0.272  -0.01
H4 0.864 0.364 0.728  -0.01
H5 0.364 0.864 0.728  -0.01
H6 0.929 0.929 0.858  -0.01
H7 0.213 0.213 0.426  -0.01
H8 0.787 0.787 0.574  -0.01
H9 0.000 0.500 0.000  -0.01
H10 0.500 0.000 0.000  -0.01

Values from the calculation:
Total magnetization ... 1.96 μB per formula unit
Volume ... 116.3 Å³/cell
Total energy ... -0.149 Ha/atom

Material: CaSiAs2
Method: DFT, PBE
State: relaxed

Cell: 4.945 4.945 4.945 Å, 60.00 60.00 60.00°
Fractional coordinates of all 4 atoms:
As1 0.000 0.000 0.000
As2 0.750 0.750 0.750
Ca1 0.500 0.500 0.500
Si1 0.250 0.250 0.250

Values from the calculation:
Uncorrected formation energy ... 0.070 eV per atom
Total magnetization ... 0.00 μB per formula unit
Volume ... 85.5 Å³/cell

Material: CdTe2ICl
Method: DFT, PBE
State: relaxed

Cell: 5.727 5.727 5.766 Å, 90.00 90.00 90.00°
Site moments in Bohr magnetons follow the coordinates.
Fractional coordinates of all 5 atoms:
I1 0.000 0.000 0.500  0.13
Cl1 0.500 0.500 0.500  0.20
Te1 0.000 0.500 0.000  0.52
Te2 0.500 0.000 0.000  0.52
Cd1 0.000 0.000 0.000  0.00

Values from the calculation:
Uncorrected formation energy ... 0.402 eV per atom
Relative energy among the computed polymorphs ... 0.0 kJ/mol of atoms
Total magnetization ... 2.32 μB per formula unit
Volume ... 189.1 Å³/cell